Here is an optimized crystal structure of Rb2HoVO4 from Alexandria via LeMat-Bulk. Energies are from PBE+U.

Results
Volume, Å³/atom: 26.17
Total moment, μB per formula unit: 2.001
D(E_F), states/eV/atom: 0.10
E_tot, eV per atom: -6.1372

CIF file:
```
data_Rb2HoVO4
_space_group_name_H-M_alt 'F d d d'
_space_group_IT_number 70
_cell_length_a 5.7960
_cell_length_b 13.0260
_cell_length_c 22.1872
_cell_angle_alpha 90.00
_cell_angle_beta 90.00
_cell_angle_gamma 90.00
loop_
_space_group_symop_operation_xyz
'x,y,z'
'-x,-y,-z'
'-x+1/4,-y+1/4,z'
'x+1/4,y+1/4,-z'
'x,-y+1/4,-z+1/4'
'-x,y+1/4,z+1/4'
'-x+1/4,y,-z+1/4'
'x+1/4,-y,z+1/4'
'x,y+1/2,z+1/2'
'-x,-y+1/2,-z+1/2'
'-x+1/4,-y+3/4,z+1/2'
'x+1/4,y+3/4,-z+1/2'
'x,-y+3/4,-z+3/4'
'-x,y+3/4,z+3/4'
'-x+1/4,y+1/2,-z+3/4'
'x+1/4,-y+1/2,z+3/4'
'x+1/2,y,z+1/2'
'-x+1/2,-y,-z+1/2'
'-x+3/4,-y+1/4,z+1/2'
'x+3/4,y+1/4,-z+1/2'
'x+1/2,-y+1/4,-z+3/4'
'-x+1/2,y+1/4,z+3/4'
'-x+3/4,y,-z+3/4'
'x+3/4,-y,z+3/4'
'x+1/2,y+1/2,z'
'-x+1/2,-y+1/2,-z'
'-x+3/4,-y+3/4,z'
'x+3/4,y+3/4,-z'
'x+1/2,-y+3/4,-z+1/4'
'-x+1/2,y+3/4,z+1/4'
'-x+3/4,y+1/2,-z+1/4'
'x+3/4,-y+1/2,z+1/4'
loop_
_atom_site_label
_atom_site_type_symbol
_atom_site_fract_x
_atom_site_fract_y
_atom_site_fract_z
Rb1 Rb 0.1250 0.1250 0.3154
Ho1 Ho 0.1250 0.1250 0.1250
V1 V 0.1250 0.1250 0.6250
O1 O 0.1028 0.2848 0.8379
```